Record 1
VASP calculation (PBE) on Si2HgPdO6 after structural relaxation.

abc: 5.470 7.420 7.420
angles: 86.54 73.91 73.91
Sites, in units of the cell vectors:
Si 0.294 0.798 0.632
Si 0.206 0.368 0.202
Si 0.706 0.202 0.368
Si 0.794 0.632 0.798
Hg 0.250 0.893 0.107
Hg 0.750 0.107 0.893
Pd 0.250 0.286 0.714
Pd 0.750 0.714 0.286
O 0.168 0.985 0.771
O 0.332 0.229 0.015
O 0.832 0.015 0.229
O 0.668 0.771 0.985
O 0.371 0.846 0.410
O 0.129 0.590 0.154
O 0.629 0.154 0.590
O 0.871 0.410 0.846
O 0.079 0.670 0.676
O 0.421 0.324 0.330
O 0.921 0.330 0.324
O 0.579 0.676 0.670

## Properties
formation energy (no corrections) = -1.6177 eV/atom

***

Record 2
VASP calculation (PBE) on SbPbAu2 after structural relaxation.

abc: 4.303 4.303 6.865
angles: 71.74 71.74 60.00
Sites, in units of the cell vectors:
Sb 0.670 0.670 0.990
Pb 0.496 0.496 0.512
Au 0.077 0.077 0.769
Au 0.257 0.257 0.229

## Properties
formation energy (no corrections) = -0.0252 eV/atom

***

Record 3
VASP calculation (PBE) on YTc2Sb after structural relaxation.

abc: 4.621 3.391 5.410
angles: 86.89 90.00 90.00
Sites, in units of the cell vectors:
Sb 0.500 0.750 0.750
Tc 0.000 0.785 0.038
Tc 0.000 0.715 0.462
Y 0.500 0.250 0.250

## Properties
formation energy (no corrections) = 0.1124 eV/atom

***

Record 4
VASP calculation (PBE) on Dy5Y3Th2 after structural relaxation.

abc: 9.023 9.028 11.148
angles: 121.59 121.58 72.90
Sites, in units of the cell vectors:
Dy 0.278 0.528 0.056
Dy 0.722 0.472 0.944
Dy 0.029 0.779 0.558
Dy 0.532 0.282 0.563
Dy 0.971 0.221 0.442
Dy 0.468 0.718 0.437
Dy 0.874 0.621 0.744
Dy 0.126 0.379 0.256
Dy 0.370 0.123 0.744
Dy 0.630 0.877 0.256
Y 0.220 0.970 0.939
Y 0.780 0.030 0.061
Y 0.730 0.481 0.252
Y 0.270 0.519 0.748
Y 0.022 0.771 0.252
Y 0.978 0.229 0.748
Th 0.760 0.011 0.748
Th 0.240 0.989 0.252
Th 0.488 0.737 0.748
Th 0.512 0.263 0.252

## Properties
energy of formation = 0.22 eV/atom

***

Record 5
VASP calculation (PBE) on SbMo3H after structural relaxation.

abc: 4.982 4.982 4.982
angles: 90.00 90.00 90.00
Sites, in units of the cell vectors:
Sb 0.000 0.000 0.000
Mo 0.000 0.500 0.000
Mo 0.000 0.000 0.500
Mo 0.500 0.000 0.000
H 0.500 0.500 0.500

## Properties
E = -5.24 eV/atom

***

Record 6
VASP calculation (PBE) on UPaSe3 after structural relaxation.

abc: 4.016 7.738 15.756
angles: 90.00 90.00 90.00
Sites, in units of the cell vectors:
U 0.750 0.904 0.791
U 0.250 0.096 0.209
U 0.750 0.404 0.709
U 0.250 0.596 0.291
Pa 0.250 0.258 0.958
Pa 0.250 0.758 0.542
Pa 0.750 0.242 0.458
Pa 0.750 0.742 0.042
Se 0.250 0.378 0.572
Se 0.750 0.825 0.224
Se 0.750 0.501 0.895
Se 0.750 0.001 0.605
Se 0.750 0.622 0.428
Se 0.250 0.999 0.395
Se 0.250 0.878 0.928
Se 0.750 0.325 0.276
Se 0.250 0.675 0.724
Se 0.250 0.175 0.776
Se 0.750 0.122 0.072
Se 0.250 0.499 0.105

## Properties
formation energy (no corrections) = -1.2540 eV/atom

***

Record 7
VASP calculation (PBE) on KZr2Mo after structural relaxation.

abc: 8.649 8.649 8.649
angles: 157.71 149.80 37.86
Sites, in units of the cell vectors:
K 0.571 0.571 0.000
Mo 0.768 0.268 0.500
Zr 0.893 0.893 0.000
Zr 0.268 0.768 0.500

## Properties
energy of formation = 0.69 eV/atom

***

Record 8
VASP calculation (PBE) on Cs2Li2PaSe4 after structural relaxation.

abc: 4.367 8.348 8.233
angles: 108.16 105.38 90.00
Sites, in units of the cell vectors:
Cs 0.139 0.566 0.279
Cs 0.861 0.434 0.721
Li 0.680 0.986 0.360
Li 0.320 0.014 0.640
Pa 0.000 0.000 0.000
Se 0.190 0.151 0.380
Se 0.810 0.849 0.620
Se 0.517 0.781 0.034
Se 0.483 0.219 0.966

## Properties
formation energy (no corrections) = -1.3614 eV/atom

***

Record 9
VASP calculation (PBE) on La2ScCuS5 after structural relaxation.

abc: 3.922 8.580 11.639
angles: 90.00 90.00 103.21
Sites, in units of the cell vectors:
La 0.874 0.748 0.812
La 0.112 0.223 0.689
La 0.126 0.252 0.312
La 0.888 0.777 0.189
Sc 0.806 0.613 0.512
Sc 0.194 0.387 0.012
Cu 0.563 0.125 0.951
Cu 0.437 0.875 0.451
S 0.351 0.703 0.004
S 0.692 0.383 0.860
S 0.498 0.997 0.777
S 0.290 0.579 0.664
S 0.952 0.905 0.554
S 0.649 0.297 0.504
S 0.308 0.617 0.360
S 0.502 0.003 0.277
S 0.710 0.421 0.164
S 0.048 0.095 0.054

## Properties
formation energy (no corrections) = -1.8112 eV/atom

***

Record 10
VASP calculation (PBE) on NaAg6P2 after structural relaxation.

abc: 4.207 4.207 9.411
angles: 90.00 90.00 90.00
Sites, in units of the cell vectors:
Na 0.000 0.000 0.000
Ag 0.000 0.500 0.277
Ag 0.500 0.000 0.277
Ag 0.000 0.500 0.723
Ag 0.500 0.000 0.723
Ag 0.500 0.500 0.500
Ag 0.000 0.000 0.500
P 0.500 0.500 0.115
P 0.500 0.500 0.885

## Properties
energy of formation = -0.03 eV/atom

***

Record 11
VASP calculation (PBE) on NaY2In9 after structural relaxation.

abc: 4.646 4.646 14.089
angles: 90.00 90.00 90.00
Sites, in units of the cell vectors:
Na 0.000 0.000 0.000
Y 0.000 0.000 0.335
Y 0.000 0.000 0.665
In 0.500 0.500 0.000
In 0.500 0.500 0.335
In 0.500 0.500 0.665
In 0.500 0.000 0.166
In 0.500 0.000 0.500
In 0.500 0.000 0.834
In 0.000 0.500 0.166
In 0.000 0.500 0.500
In 0.000 0.500 0.834

## Properties
energy of formation = -0.30 eV/atom

***

Record 12
VASP calculation (PBE) on Tb2CeNdSb4 after structural relaxation.

abc: 4.456 7.713 7.723
angles: 70.59 90.00 90.00
Sites, in units of the cell vectors:
Tb 0.000 0.000 0.000
Tb 0.500 0.000 0.500
Ce 0.000 0.500 0.500
Nd 0.500 0.500 0.000
Sb 0.000 0.756 0.746
Sb 0.000 0.244 0.254
Sb 0.500 0.756 0.249
Sb 0.500 0.244 0.751

## Properties
formation energy (no corrections) = -1.1332 eV/atom

***

| no. | calculated density (Mg/m³) |
| --- | --- |
| 1 | 5.485 |
| 2 | 11.696 |
| 3 | 7.978 |
| 4 | 7.782 |
| 5 | 5.512 |
| 6 | 9.578 |
| 7 | 4.276 |
| 8 | 5.011 |
| 9 | 4.761 |
| 10 | 7.298 |
| 11 | 6.739 |
| 12 | 7.225 |